(1)
Crystalline BaMoPt2 at its relaxed geometry, computed with PBEsol.

abc: 4.733 4.733 4.733
angles: 60.00 60.00 60.00
Atoms (fractional coordinates):
Ba1 0.000 0.000 0.000
Mo1 0.250 0.250 0.250
Pt1 0.500 0.500 0.500
Pt2 0.750 0.750 0.750

**Calculated density**: 13.80 g cm⁻³
**ΔE_f**: 0.602 eV per atom
**Crystal system**: cubic
**Raw total energy**: -0.2337 hartree per atom
**E above lowest polymorph**: 685 meV per atom

---

(2)
Crystalline BAsAuSe2 at its relaxed geometry, computed with PBEsol.

abc: 5.112 5.112 4.778
angles: 90.00 90.00 90.00
Atoms (fractional coordinates):
B1 0.000 0.000 0.000
As1 0.500 0.500 0.000
Au1 0.500 0.500 0.500
Se1 0.000 0.500 0.500
Se2 0.500 0.000 0.500

**Calculated density**: 5.86 g cm⁻³
**Crystal system**: tetragonal
**Raw total energy**: -0.1169 hartree per atom
**Energy relative to the elements, uncorrected**: 7.84 eV per formula unit

---

(3)
Crystalline K2IrBr at its relaxed geometry, computed with PBEsol.

abc: 4.645 4.645 6.716
angles: 90.00 90.00 90.00
Atoms (fractional coordinates):
K1 0.000 0.000 0.000
K2 0.500 0.500 0.500
Ir1 0.000 0.000 0.500
Br1 0.500 0.500 0.000

**Calculated density**: 4.01 g cm⁻³
**Crystal system**: tetragonal
**Raw total energy**: -0.1121 hartree per atom
**Energy relative to the elements, uncorrected**: 1.76 eV per formula unit
**E above lowest polymorph**: 357 meV per atom

---

(4)
Crystalline CaAl3Pt at its relaxed geometry, computed with PBEsol.

abc: 4.782 4.782 4.782
angles: 90.00 90.00 90.00
Atoms (fractional coordinates):
Ca1 0.000 0.000 0.000
Al1 0.000 0.500 0.500
Al2 0.500 0.000 0.500
Al3 0.500 0.500 0.000
Pt1 0.500 0.500 0.500

**Calculated density**: 4.80 g cm⁻³
**ΔE_f**: -0.326 eV per atom
**Crystal system**: cubic
**Raw total energy**: -0.1691 hartree per atom

---

no.,M_tot (μB/cell)
1,0.003
2,0.002
3,2.000
4,0.000